Crystalline Zr2PCl at its relaxed geometry, computed with PBE.

Geometry as POSCAR:
```
Zr2PCl
1.0
3.540 0.000 0.000
0.000 3.540 0.000
0.000 0.000 6.475
Zr Cl P
2 1 1
Cartesian
0.000 0.000 5.979
1.770 1.770 1.715
0.000 0.000 3.044
1.770 1.770 5.450
```

- Formation energy without anion corrections: -0.9495 eV/atom
- Space-group type: No. 99
- Total magnetization: 0.000 μB per atom